1.
First-principles (PBE) data for a relaxed NdDy2ThBi5 crystal, as listed in Alexandria.

Results
- DFT total energy (eV per atom) = -4.34
- symmetry = P4/mmm

Lattice parameters (Å, degrees): 5.7129 5.7129 12.0950 90.00 90.00 90.00
With the nearest neighbours (Å) after each atom.
Element x y z (fractional)
Nd 0.0000 0.0000 0.0000  2 Bi 2.96
Dy 0.5000 0.5000 0.2644  1 Bi 3.20
Dy 0.5000 0.5000 0.7356  1 Bi 3.20
Th 0.0000 0.0000 0.5000  6 Bi 2.86-3.08
Bi 0.0000 0.0000 0.2450  1 Nd 2.96, 1 Th 3.08
Bi 0.0000 0.0000 0.7550  1 Nd 2.96, 1 Th 3.08
Bi 0.0000 0.5000 0.5000  2 Th 2.86
Bi 0.5000 0.0000 0.5000  2 Th 2.86
Bi 0.5000 0.5000 0.0000  2 Dy 3.20



2.
First-principles (PBE) data for a relaxed NdDyTlBi crystal, as listed in Alexandria.

Results
- DFT total energy (eV per atom) = -4.34
- symmetry = F-43m

Lattice parameters (Å, degrees): 5.5144 5.5144 5.5144 60.00 60.00 60.00
With the nearest neighbours (Å) after each atom.
Element x y z (fractional)
Nd 0.0000 0.0000 0.0000  4 Bi 3.38, 4 Tl 3.38
Dy 0.5000 0.5000 0.5000  4 Bi 3.38, 4 Tl 3.38
Tl 0.2500 0.2500 0.2500  4 Dy 3.38, 4 Nd 3.38
Bi 0.7500 0.7500 0.7500  4 Dy 3.38, 4 Nd 3.38



Look up the DFT total energy of the first one. -4.34 eV per atom